# 1
A plane-wave DFT calculation with PBE was carried out for a geometry-optimized Tl2AgTe2 structure.

Output
* energy above the lowest structure with this stoichiometry: 346 meV per atom
* Fermi-level density of states: 2.5 states/eV/f.u.
* VASP energy: -26.098 eV/cell
* uncorrected formation energy: 0.16 eV/atom
* theoretical density: 7.97 g cm⁻³
* symmetry: I4/mmm, No. 139

Cell lengths 4.4933, 4.4933, 15.9348 Å; angles 90.00, 90.00, 90.00 degrees
Positions (direct):
1 Tl 0.0000 0.5000 0.2500
2 Tl 0.0000 0.5000 0.7500
3 Tl 0.5000 0.0000 0.2500
4 Tl 0.5000 0.0000 0.7500
5 Ag 0.0000 0.0000 0.0000
6 Ag 0.5000 0.5000 0.5000
7 Te 0.0000 0.0000 0.4083
8 Te 0.0000 0.0000 0.5917
9 Te 0.5000 0.5000 0.0917
10 Te 0.5000 0.5000 0.9083

=====

# 2
A plane-wave DFT calculation with PBE was carried out for a geometry-optimized NdCo5As3 structure.

Output
* Fermi-level density of states: 8.4 states/eV/f.u.
* formation enthalpy at 0 K: -0.47 eV per atom
* VASP energy: -116.884 eV/cell
* theoretical density: 8.41 g cm⁻³
* symmetry: Cmcm, No. 63

Cell lengths 6.2340, 6.2340, 11.7608 Å; angles 90.00, 90.00, 145.02 degrees
Positions (direct):
1 Nd 0.1640 0.8360 0.7500
2 Nd 0.8360 0.1640 0.2500
3 Co 0.0000 0.0000 0.0000
4 Co 0.0000 0.0000 0.5000
5 Co 0.1940 0.8060 0.0687
6 Co 0.1940 0.8060 0.4313
7 Co 0.4468 0.5532 0.6420
8 Co 0.4468 0.5532 0.8580
9 Co 0.5532 0.4468 0.1420
10 Co 0.5532 0.4468 0.3580
11 Co 0.8060 0.1940 0.5687
12 Co 0.8060 0.1940 0.9313
13 As 0.1073 0.8927 0.2500
14 As 0.3806 0.6194 0.0429
15 As 0.3806 0.6194 0.4571
16 As 0.6194 0.3806 0.5429
17 As 0.6194 0.3806 0.9571
18 As 0.8927 0.1073 0.7500

=====

# 3
A plane-wave DFT calculation with PBE was carried out for a geometry-optimized NbTe2RhN structure.

Output
* energy above the lowest structure with this stoichiometry: 46 meV per atom
* Fermi-level density of states: 4.6 states/eV/f.u.
* VASP energy: -29.210 eV/cell
* uncorrected formation energy: 0.56 eV/atom
* theoretical density: 7.24 g cm⁻³
* symmetry: P4/mmm, No. 123

Cell lengths 5.4000, 5.4000, 3.6556 Å; angles 90.00, 90.00, 90.00 degrees
Positions (direct):
1 Nb 0.0000 0.0000 0.0000
2 Te 0.0000 0.5000 0.5000
3 Te 0.5000 0.0000 0.5000
4 Rh 0.5000 0.5000 0.5000
5 N 0.5000 0.5000 0.0000

=====

# 4
A plane-wave DFT calculation with PBE was carried out for a geometry-optimized Mg3TiIr4 structure.

Output
* Fermi-level density of states: 4.3 states/eV/f.u.
* formation enthalpy at 0 K: -0.55 eV per atom
* VASP energy: -52.549 eV/cell
* theoretical density: 12.31 g cm⁻³
* symmetry: P4/mmm, No. 123

Cell lengths 4.3779, 4.3779, 6.2605 Å; angles 90.00, 90.00, 90.00 degrees
Positions (direct):
1 Mg 0.0000 0.0000 0.0000
2 Mg 0.0000 0.0000 0.5000
3 Mg 0.5000 0.5000 0.0000
4 Ti 0.5000 0.5000 0.5000
5 Ir 0.0000 0.5000 0.2551
6 Ir 0.0000 0.5000 0.7449
7 Ir 0.5000 0.0000 0.2551
8 Ir 0.5000 0.0000 0.7449

=====

# 5
A plane-wave DFT calculation with PBE was carried out for a geometry-optimized Er3ScAl4 structure.

Output
* Fermi-level density of states: 4.0 states/eV/f.u.
* formation enthalpy at 0 K: -0.40 eV per atom
* VASP energy: -38.230 eV/cell
* theoretical density: 6.22 g cm⁻³
* symmetry: P4/mmm, No. 123

Cell lengths 3.5139, 3.5139, 14.1433 Å; angles 90.00, 90.00, 90.00 degrees
Positions (direct):
1 Er 0.0000 0.0000 0.0000
2 Er 0.0000 0.0000 0.2580
3 Er 0.0000 0.0000 0.7420
4 Sc 0.0000 0.0000 0.5000
5 Al 0.5000 0.5000 0.1295
6 Al 0.5000 0.5000 0.3892
7 Al 0.5000 0.5000 0.6108
8 Al 0.5000 0.5000 0.8705

=====

# 6
A plane-wave DFT calculation with PBE was carried out for a geometry-optimized Pm2TmScTe5 structure.

Output
* Fermi-level density of states: 6.1 states/eV/f.u.
* VASP energy: -42.652 eV/cell
* uncorrected formation energy: -0.74 eV/atom
* theoretical density: 5.64 g cm⁻³
* symmetry: P4/mmm, No. 123

Cell lengths 5.5051, 5.5051, 11.0910 Å; angles 90.00, 90.00, 90.00 degrees
Positions (direct):
1 Pm 0.0000 0.0000 0.1760
2 Pm 0.0000 0.0000 0.8240
3 Tm 0.5000 0.5000 0.0000
4 Sc 0.5000 0.5000 0.5000
5 Te 0.0000 0.0000 0.5000
6 Te 0.0000 0.5000 0.0000
7 Te 0.5000 0.0000 0.0000
8 Te 0.5000 0.5000 0.2605
9 Te 0.5000 0.5000 0.7395

=====

# 7
A plane-wave DFT calculation with PBE was carried out for a geometry-optimized ZrTc2GeAu structure.

Output
* Fermi-level density of states: 3.2 states/eV/f.u.
* formation enthalpy at 0 K: 0.68 eV per atom
* VASP energy: -33.786 eV/cell
* theoretical density: 9.39 g cm⁻³
* symmetry: P4/mmm, No. 123

Cell lengths 4.6330, 4.6330, 4.5874 Å; angles 90.00, 90.00, 90.00 degrees
Positions (direct):
1 Zr 0.0000 0.0000 0.0000
2 Tc 0.0000 0.5000 0.5000
3 Tc 0.5000 0.0000 0.5000
4 Ge 0.5000 0.5000 0.5000
5 Au 0.5000 0.5000 0.0000

=====

# 8
A plane-wave DFT calculation with PBE was carried out for a geometry-optimized Rb2TaBi structure.

Output
* Fermi-level density of states: 3.7 states/eV/f.u.
* formation enthalpy at 0 K: 1.14 eV per atom
* VASP energy: -52.507 eV/cell
* theoretical density: 7.12 g cm⁻³
* symmetry: I-42d, No. 122

Cell lengths 4.4304, 4.4304, 26.6596 Å; angles 90.00, 90.00, 90.00 degrees
Positions (direct):
1 Rb 0.2492 0.2500 0.1250
2 Rb 0.2500 0.7492 0.3750
3 Rb 0.2500 0.7508 0.8750
4 Rb 0.2508 0.2500 0.6250
5 Rb 0.7492 0.7500 0.6250
6 Rb 0.7500 0.2492 0.8750
7 Rb 0.7500 0.2508 0.3750
8 Rb 0.7508 0.7500 0.1250
9 Ta 0.0000 0.0000 0.5000
10 Ta 0.0000 0.5000 0.7500
11 Ta 0.5000 0.0000 0.2500
12 Ta 0.5000 0.5000 0.0000
13 Bi 0.0000 0.0000 0.0000
14 Bi 0.0000 0.5000 0.2500
15 Bi 0.5000 0.0000 0.7500
16 Bi 0.5000 0.5000 0.5000